(1)
A plane-wave DFT calculation with GGA-PBE was carried out for Pu3CdRh4 after structural relaxation.

Properties
The density of states at the Fermi level comes out at 22.68 states/eV/f.u. Its total energy is -9.563 eV per atom. As for the total magnetization: 14.47 μB/cell. As for the crystal system: tetragonal.

Cell lengths 7.493, 7.493, 7.493 Å; angles 142.63, 142.63, 53.89 degrees
Positions (direct):
1 Pu 0.000 0.000 0.000
2 Pu 0.258 0.258 0.000
3 Pu 0.742 0.742 0.000
4 Cd 0.500 0.500 0.000
5 Rh 0.124 0.624 0.500
6 Rh 0.376 0.876 0.500
7 Rh 0.624 0.124 0.500
8 Rh 0.876 0.376 0.500


(2)
A plane-wave DFT calculation with GGA-PBE was carried out for Pu2CdRh4 after structural relaxation.

Properties
The density of states at the Fermi level comes out at 20.30 states/eV/f.u. Its total energy is -8.724 eV per atom. As for the total magnetization: 8.36 μB/cell. As for the crystal system: tetragonal.

Cell lengths 9.558, 9.558, 9.558 Å; angles 156.21, 156.21, 33.89 degrees
Positions (direct):
1 Pu 0.123 0.123 0.000
2 Pu 0.877 0.877 0.000
3 Cd 0.500 0.500 0.000
4 Rh 0.250 0.750 0.500
5 Rh 0.353 0.353 0.000
6 Rh 0.647 0.647 0.000
7 Rh 0.750 0.250 0.500


(3)
A plane-wave DFT calculation with GGA-PBE was carried out for Pu5CdRh6 after structural relaxation.

Properties
The density of states at the Fermi level comes out at 49.35 states/eV/f.u. Its total energy is -10.095 eV per atom. As for the total magnetization: 4.31 μB/cell. As for the crystal system: orthorhombic.

Cell lengths 7.543, 7.543, 6.900 Å; angles 90.00, 90.00, 143.39 degrees
Positions (direct):
1 Pu 0.000 0.000 0.000
2 Pu 0.332 0.668 0.000
3 Pu 0.341 0.659 0.500
4 Pu 0.659 0.341 0.500
5 Pu 0.668 0.332 0.000
6 Cd 0.000 0.000 0.500
7 Rh 0.167 0.833 0.257
8 Rh 0.167 0.833 0.743
9 Rh 0.500 0.500 0.245
10 Rh 0.500 0.500 0.755
11 Rh 0.833 0.167 0.257
12 Rh 0.833 0.167 0.743